A plane-wave DFT calculation with PBE-GGA was carried out for Nd3Dy2Pb4 after structural relaxation.

The structure belongs to space group C2/m (No. 12); the cell edges are 13.478, 5.034 and 10.212 Å and the angles 90.00°, 124.64° and 90.00°. The inequivalent atoms are Nd at (0.000, 0.000, 0.000), Nd at (0.149, 0.500, 0.701), Dy at (0.147, 0.500, 0.323), Pb at (0.065, 0.000, 0.408) and Pb at (0.169, 0.500, 0.033).

The value obtained for the calculated formation energy is -442 meV/atom. As for the density of states at the Fermi level: 0.73 states/eV per atom. Its calculated total energy is -4.702 eV per atom. As for the energy above the lowest structure with this stoichiometry: 29.9 meV per atom. The calculated volume comes out at 31.7 Å³/atom. The calculation puts the total magnetization at 0.0 μB per formula unit.